# 1
LaAuBr2 | PBEsol | optimized geometry

```
data_LaAuBr2
_chemical_formula_sum 'La1 Au1 Br2'
_cell_length_a 4.6692
_cell_length_b 4.6692
_cell_length_c 4.3751
_cell_angle_alpha 90.00
_cell_angle_beta 90.00
_cell_angle_gamma 90.00
_symmetry_space_group_name_H-M 'P 4/m m m'
_symmetry_Int_Tables_number 123
_symmetry_space_group_name_Hall '-P 4 2'
loop_
_atom_site_label
_atom_site_type_symbol
_atom_site_fract_x
_atom_site_fract_y
_atom_site_fract_z
_atom_site_occupancy
La1 La 0.0000 0.0000 0.0000 1
Au1 Au 0.5000 0.5000 0.0000 1
Br1 Br 0.0000 0.5000 0.5000 1
```

## Properties
The value obtained for the raw formation energy is -24.3 kcal/mol of atoms. The value obtained for the excess energy over the best structure of this formula in the dataset is 24 kJ/mol of formula units. The total magnetization comes out at 0.000 μB per formula unit. The value obtained for the raw total energy is -4.31 eV/atom. The theoretical density is 8.6 g/cm3.



# 2
TaW | PBEsol | optimized geometry

```
data_TaW
_chemical_formula_sum 'Ta6 W6'
_cell_length_a 10.1972
_cell_length_b 3.1942
_cell_length_c 6.4094
_cell_angle_alpha 90.00
_cell_angle_beta 108.56
_cell_angle_gamma 90.00
_symmetry_space_group_name_H-M 'C 1 m 1'
_symmetry_Int_Tables_number 8
_symmetry_space_group_name_Hall 'C -2y'
loop_
_atom_site_label
_atom_site_type_symbol
_atom_site_fract_x
_atom_site_fract_y
_atom_site_fract_z
_atom_site_occupancy
Ta1 Ta 0.0000 0.0000 0.0000 1
Ta2 Ta 0.0002 0.0000 0.4944 1
Ta3 Ta 0.1738 0.5000 0.8339 1
W1 W 0.1727 0.5000 0.3337 1
W2 W 0.3331 0.0000 0.1670 1
W3 W 0.3339 0.0000 0.6610 1
```

## Properties
The formation energy from the elements is -92.3 meV per atom. The total magnetization comes out at 0.000 μB per formula unit. The value obtained for the raw total energy is -13.27 eV/atom. The theoretical density is 18.4 g/cm3.



# 3
HfIrF3 | PBEsol | optimized geometry

```
data_HfIrF3
_chemical_formula_sum 'Hf1 Ir1 F3'
_cell_length_a 4.2268
_cell_length_b 4.2268
_cell_length_c 4.2268
_cell_angle_alpha 90.00
_cell_angle_beta 90.00
_cell_angle_gamma 90.00
_symmetry_space_group_name_H-M 'P m -3 m'
_symmetry_Int_Tables_number 221
_symmetry_space_group_name_Hall '-P 4 2 3'
loop_
_atom_site_label
_atom_site_type_symbol
_atom_site_fract_x
_atom_site_fract_y
_atom_site_fract_z
_atom_site_occupancy
Hf1 Hf 0.0000 0.0000 0.0000 1
Ir1 Ir 0.5000 0.5000 0.5000 1
F1 F 0.0000 0.5000 0.5000 1
```

## Properties
The value obtained for the raw formation energy is -2.4 kcal/mol of atoms. The total magnetization comes out at 1.616 μB per formula unit. The value obtained for the raw total energy is -5.33 eV/atom. The theoretical density is 9.4 g/cm3.



# 4
Al4Ag | PBEsol | optimized geometry

```
data_Al4Ag
_chemical_formula_sum 'Al8 Ag2'
_cell_length_a 9.2066
_cell_length_b 2.8945
_cell_length_c 7.0032
_cell_angle_alpha 90.00
_cell_angle_beta 119.31
_cell_angle_gamma 90.00
_symmetry_space_group_name_H-M 'C 1 2/m 1'
_symmetry_Int_Tables_number 12
_symmetry_space_group_name_Hall '-C 2y'
loop_
_atom_site_label
_atom_site_type_symbol
_atom_site_fract_x
_atom_site_fract_y
_atom_site_fract_z
_atom_site_occupancy
Al1 Al 0.0982 0.0000 0.4011 1
Al2 Al 0.2040 0.5000 0.8003 1
Ag1 Ag 0.0000 0.5000 0.0000 1
```

## Properties
The value obtained for the excess energy over the best structure of this formula in the dataset is 9 kJ/mol of formula units. The formation energy from the elements is -14.7 meV per atom. The total magnetization comes out at 0.000 μB per formula unit. The value obtained for the raw total energy is -3.95 eV/atom. The theoretical density is 4.4 g/cm3.



# 5
TlFe2Pt | PBEsol | optimized geometry

```
data_TlFe2Pt
_chemical_formula_sum 'Tl1 Fe2 Pt1'
_cell_length_a 3.0088
_cell_length_b 3.0088
_cell_length_c 6.5198
_cell_angle_alpha 90.00
_cell_angle_beta 90.00
_cell_angle_gamma 90.00
_symmetry_space_group_name_H-M 'P 4 m m'
_symmetry_Int_Tables_number 99
_symmetry_space_group_name_Hall 'P 4 -2'
loop_
_atom_site_label
_atom_site_type_symbol
_atom_site_fract_x
_atom_site_fract_y
_atom_site_fract_z
_atom_site_occupancy
Tl1 Tl 0.0000 0.0000 0.0000 1
Fe1 Fe 0.0000 0.0000 0.4563 1
Fe2 Fe 0.5000 0.5000 0.2743 1
Pt1 Pt 0.5000 0.5000 0.6928 1
```

## Properties
The value obtained for the excess energy over the best structure of this formula in the dataset is 0 kJ/mol of formula units. The formation energy from the elements is 210.3 meV per atom. The total magnetization comes out at 5.079 μB per formula unit. The value obtained for the raw total energy is -6.67 eV/atom. The theoretical density is 14.4 g/cm3.



# 6
ScAs2IBr | PBEsol | optimized geometry

```
data_ScAs2IBr
_chemical_formula_sum 'Sc1 As2 I1 Br1'
_cell_length_a 5.2618
_cell_length_b 5.2618
_cell_length_c 5.4293
_cell_angle_alpha 90.00
_cell_angle_beta 90.00
_cell_angle_gamma 90.00
_symmetry_space_group_name_H-M 'P 4/m m m'
_symmetry_Int_Tables_number 123
_symmetry_space_group_name_Hall '-P 4 2'
loop_
_atom_site_label
_atom_site_type_symbol
_atom_site_fract_x
_atom_site_fract_y
_atom_site_fract_z
_atom_site_occupancy
Sc1 Sc 0.0000 0.0000 0.0000 1
As1 As 0.0000 0.5000 0.5000 1
I1 I 0.5000 0.5000 0.5000 1
Br1 Br 0.5000 0.5000 0.0000 1
```

## Properties
The value obtained for the raw formation energy is 17.8 kcal/mol of atoms. The value obtained for the excess energy over the best structure of this formula in the dataset is 422 kJ/mol of formula units. The total magnetization comes out at 0.085 μB per formula unit. The value obtained for the raw total energy is -3.32 eV/atom. The theoretical density is 4.4 g/cm3.



# 7
SiMoN2F | PBEsol | optimized geometry

```
data_SiMoN2F
_chemical_formula_sum 'Si1 Mo1 N2 F1'
_cell_length_a 3.6904
_cell_length_b 3.6904
_cell_length_c 3.4238
_cell_angle_alpha 90.00
_cell_angle_beta 90.00
_cell_angle_gamma 90.00
_symmetry_space_group_name_H-M 'P 4/m m m'
_symmetry_Int_Tables_number 123
_symmetry_space_group_name_Hall '-P 4 2'
loop_
_atom_site_label
_atom_site_type_symbol
_atom_site_fract_x
_atom_site_fract_y
_atom_site_fract_z
_atom_site_occupancy
Si1 Si 0.0000 0.0000 0.0000 1
Mo1 Mo 0.5000 0.5000 0.5000 1
N1 N 0.0000 0.5000 0.0000 1
F1 F 0.0000 0.0000 0.5000 1
```

## Properties
The value obtained for the raw formation energy is -4.9 kcal/mol of atoms. The total magnetization comes out at 2.840 μB per formula unit. The value obtained for the raw total energy is -7.51 eV/atom. The theoretical density is 6.1 g/cm3.



# 8
Mn3HgH | PBEsol | optimized geometry

```
data_Mn3HgH
_chemical_formula_sum 'Mn3 Hg1 H1'
_cell_length_a 5.0513
_cell_length_b 5.0513
_cell_length_c 5.0513
_cell_angle_alpha 90.00
_cell_angle_beta 90.00
_cell_angle_gamma 90.00
_symmetry_space_group_name_H-M 'P m -3 m'
_symmetry_Int_Tables_number 221
_symmetry_space_group_name_Hall '-P 4 2 3'
loop_
_atom_site_label
_atom_site_type_symbol
_atom_site_fract_x
_atom_site_fract_y
_atom_site_fract_z
_atom_site_occupancy
Mn1 Mn 0.0000 0.0000 0.5000 1
Hg1 Hg 0.0000 0.0000 0.0000 1
H1 H 0.5000 0.5000 0.5000 1
```

## Properties
The total magnetization comes out at 14.036 μB per formula unit. The value obtained for the raw total energy is -4.84 eV/atom. The theoretical density is 4.7 g/cm3.